(w)
Ac4La5Pm | PBE | optimized geometry

a = 17.9894 Å, b = 3.7922 Å, c = 12.0753 Å
α = 90.00°, β = 90.77°, γ = 90.00°
Closest atoms and distances in Å follow each position.
Space group C2/m (No. 12)
Inequivalent atoms, fractional coordinates:
1 Ac 0.0311 0.0000 0.2484  4 La 3.53-3.63, 2 Pm 3.59, 2 Ac 3.79
2 Ac 0.1634 0.5000 0.7491  4 Ac 3.79-3.98, 7 La 3.87-4.18
3 La 0.0000 0.5000 0.5000  4 Ac 3.63, 6 La 3.68-3.79
4 La 0.1715 0.0000 0.0415  4 La 3.56-3.79, 2 Ac 3.58-3.87, 2 Pm 3.65
5 La 0.1720 0.0000 0.4549  2 Ac 3.53-3.88, 6 La 3.55-3.79
6 Pm 0.0000 0.5000 0.0000  4 Ac 3.59, 4 La 3.65, 2 Pm 3.79

Computed properties:
Volume ... 41.19 Å³/atom
Crystal system ... monoclinic

(x)
Ac4La5Pm | PBE | optimized geometry

a = 7.4021 Å, b = 9.0143 Å, c = 12.6895 Å
α = 90.00°, β = 90.00°, γ = 90.00°
Closest atoms and distances in Å follow each position.
Space group Pmmn (No. 59, origin choice 2)
Inequivalent atoms, fractional coordinates:
1 Ac 0.0006 0.2500 0.0322  1 Pm 3.64, 2 Ac 3.69-3.71, 5 La 3.70-3.82
2 Ac 0.2500 0.5083 0.5012  1 Pm 3.54, 5 La 3.57-3.95, 2 Ac 3.70
3 La 0.0015 0.5695 0.2297  2 La 3.25-3.50, 1 Pm 3.49
4 La 0.2500 0.2500 0.2878  4 La 3.50, 4 Ac 3.57-3.73, 2 Pm 3.70
5 Pm 0.2500 0.7500 0.7210  6 La 3.49-3.70, 4 Ac 3.54-3.64

Computed properties:
Volume ... 42.34 Å³/atom
Crystal system ... orthorhombic

Winner for stability: (w)